Record 1
# GGA-PBEsol TeRu2Se, optimized geometry
data_TeRu2Se
_symmetry_space_group_name_H-M 'C 1 2/m 1'
_symmetry_Int_Tables_number 12
_symmetry_space_group_name_Hall '-C 2y'
_cell_length_a 7.9848
_cell_length_b 3.1186
_cell_length_c 5.4151
_cell_angle_alpha 90.00
_cell_angle_beta 102.92
_cell_angle_gamma 90.00
loop_
_atom_site_label
_atom_site_type_symbol
_atom_site_fract_x
_atom_site_fract_y
_atom_site_fract_z
Te1 Te 0.0000 0.0000 0.0000
Ru1 Ru 0.2478 0.0000 0.7229
Se1 Se 0.0000 0.5000 0.5000
# Total energy = -53.65 eV for the cell shown
# Energy relative to the elements, uncorrected = 224 meV per atom
# Excess energy over the best structure of this formula in the dataset = 3.01 kcal/mol of atoms

Record 2
# GGA-PBEsol Rb3TaSi, optimized geometry
data_Rb3TaSi
_symmetry_space_group_name_H-M 'P m -3 m'
_symmetry_Int_Tables_number 221
_symmetry_space_group_name_Hall '-P 4 2 3'
_cell_length_a 6.6787
_cell_length_b 6.6787
_cell_length_c 6.6787
_cell_angle_alpha 90.00
_cell_angle_beta 90.00
_cell_angle_gamma 90.00
loop_
_atom_site_label
_atom_site_type_symbol
_atom_site_fract_x
_atom_site_fract_y
_atom_site_fract_z
Rb1 Rb 0.0000 0.0000 0.5000
Ta1 Ta 0.0000 0.0000 0.0000
Si1 Si 0.5000 0.5000 0.5000
# Total energy = -11.81 eV for the cell shown
# Energy relative to the elements, uncorrected = 1913 meV per atom

Record 3
# GGA-PBEsol La3PbI3, optimized geometry
data_La3PbI3
_symmetry_space_group_name_H-M 'I 41 3 2'
_symmetry_Int_Tables_number 214
_symmetry_space_group_name_Hall 'I 4bd 2c 3'
_cell_length_a 12.7828
_cell_length_b 12.7828
_cell_length_c 12.7828
_cell_angle_alpha 90.00
_cell_angle_beta 90.00
_cell_angle_gamma 90.00
loop_
_atom_site_label
_atom_site_type_symbol
_atom_site_fract_x
_atom_site_fract_y
_atom_site_fract_z
La1 La 0.1196 0.3696 0.1250
Pb1 Pb 0.1250 0.1250 0.1250
I1 I 0.1176 0.1324 0.6250
# Total energy = -267.22 eV for the cell shown
# Energy relative to the elements, uncorrected = -1152 meV per atom

Record 4
# GGA-PBEsol Rb2PtCl6, optimized geometry
data_Rb2PtCl6
_symmetry_space_group_name_H-M 'F m -3 m'
_symmetry_Int_Tables_number 225
_symmetry_space_group_name_Hall '-F 4 2 3'
_cell_length_a 9.8671
_cell_length_b 9.8671
_cell_length_c 9.8671
_cell_angle_alpha 90.00
_cell_angle_beta 90.00
_cell_angle_gamma 90.00
loop_
_atom_site_label
_atom_site_type_symbol
_atom_site_fract_x
_atom_site_fract_y
_atom_site_fract_z
Rb1 Rb 0.2500 0.2500 0.2500
Pt1 Pt 0.0000 0.0000 0.0000
Cl1 Cl 0.0000 0.0000 0.2350
# Total energy = -128.97 eV for the cell shown
# Energy relative to the elements, uncorrected = -1242 meV per atom

Record 5
# GGA-PBEsol KLi2Al, optimized geometry
data_KLi2Al
_symmetry_space_group_name_H-M 'C m m m'
_symmetry_Int_Tables_number 65
_symmetry_space_group_name_Hall '-C 2 2'
_cell_length_a 7.4404
_cell_length_b 7.4538
_cell_length_c 3.3642
_cell_angle_alpha 90.00
_cell_angle_beta 90.00
_cell_angle_gamma 90.00
loop_
_atom_site_label
_atom_site_type_symbol
_atom_site_fract_x
_atom_site_fract_y
_atom_site_fract_z
K1 K 0.0000 0.0000 0.0000
Li1 Li 0.2500 0.2500 0.5000
Al1 Al 0.0000 0.5000 0.0000
# Total energy = -16.51 eV for the cell shown
# Calculated formation energy = 0.2253 eV/atom

Record 6
# GGA-PBEsol CrIrOs2, optimized geometry
data_CrIrOs2
_symmetry_space_group_name_H-M 'P m m m'
_symmetry_Int_Tables_number 47
_symmetry_space_group_name_Hall '-P 2 2'
_cell_length_a 2.6697
_cell_length_b 3.7454
_cell_length_c 5.3618
_cell_angle_alpha 90.00
_cell_angle_beta 90.00
_cell_angle_gamma 90.00
loop_
_atom_site_label
_atom_site_type_symbol
_atom_site_fract_x
_atom_site_fract_y
_atom_site_fract_z
Cr1 Cr 0.0000 0.0000 0.0000
Ir1 Ir 0.0000 0.0000 0.5000
Os1 Os 0.5000 0.5000 0.2357
# Total energy = -44.28 eV for the cell shown
# Calculated formation energy = 0.0541 eV/atom
# Excess energy over the best structure of this formula in the dataset = 0.74 kcal/mol of atoms

| no. | D(E_F) (states/eV/cell) |
| --- | --- |
| 1 | 6.5 |
| 2 | 3.8 |
| 3 | 22.2 |
| 4 | 0.0 |
| 5 | 3.0 |
| 6 | 4.0 |